Record 1
A plane-wave DFT calculation with PBE was carried out for an optimized crystal structure of NdCdI2.

Calculated values
Space group: R-3m
Energy: -9.92 eV per formula unit
Volume: 476 Å³/cell
Formation energy (no corrections): -0.283 eV/atom

abc: 4.2311 4.2311 30.7314
angles: 90.00 90.00 120.00
Fractional positions:
Nd  0.0000  0.0000  0.0000
Nd  0.3333  0.6667  0.6667
Nd  0.6667  0.3333  0.3333
Cd  0.0000  0.0000  0.5000
Cd  0.3333  0.6667  0.1667
Cd  0.6667  0.3333  0.8333
I  0.0000  0.0000  0.0990
I  0.0000  0.0000  0.9010
I  0.3333  0.6667  0.5677
I  0.3333  0.6667  0.7656
I  0.6667  0.3333  0.2344
I  0.6667  0.3333  0.4323


Record 2
A plane-wave DFT calculation with PBE was carried out for an optimized crystal structure of Nd7CdI12.

Calculated values
Space group: R-3
Energy: -73.31 eV per formula unit
Volume: 792 Å³/cell
Formation energy (no corrections): -1.021 eV/atom

abc: 11.7093 11.7093 11.7093
angles: 116.19 116.19 116.19
Fractional positions:
Nd  0.0000  0.0000  0.0000
Nd  0.1604  0.3930  0.4720
Nd  0.3930  0.4720  0.1604
Nd  0.4720  0.1604  0.3930
Nd  0.5280  0.8396  0.6070
Nd  0.6070  0.5280  0.8396
Nd  0.8396  0.6070  0.5280
Cd  0.5000  0.5000  0.5000
I  0.0367  0.3348  0.1169
I  0.1169  0.0367  0.3348
I  0.2054  0.7294  0.5864
I  0.2706  0.4136  0.7946
I  0.3348  0.1169  0.0367
I  0.4136  0.7946  0.2706
I  0.5864  0.2054  0.7294
I  0.6652  0.8831  0.9633
I  0.7294  0.5864  0.2054
I  0.7946  0.2706  0.4136
I  0.8831  0.9633  0.6652
I  0.9633  0.6652  0.8831


Record 3
A plane-wave DFT calculation with PBE was carried out for an optimized crystal structure of NdCd2I8.

Calculated values
Space group: C2/m
Energy: -27.43 eV per formula unit
Volume: 561 Å³/cell
Formation energy (no corrections): -0.767 eV/atom

abc: 8.9935 8.9935 6.9682
angles: 92.54 92.54 93.41
Fractional positions:
Nd  0.0000  0.0000  0.0000
Cd  0.2419  0.2419  0.6626
Cd  0.7581  0.7581  0.3374
I  0.0543  0.7136  0.2301
I  0.2190  0.2190  0.2538
I  0.2864  0.9457  0.7699
I  0.4703  0.4703  0.7451
I  0.5297  0.5297  0.2549
I  0.7136  0.0543  0.2301
I  0.7810  0.7810  0.7462
I  0.9457  0.2864  0.7699


Record 4
A plane-wave DFT calculation with PBE was carried out for an optimized crystal structure of NdCdI.

Calculated values
Space group: C2/m
Energy: -9.47 eV per formula unit
Volume: 440 Å³/cell
Formation energy (no corrections): -0.746 eV/atom

abc: 7.8408 4.5279 12.3860
angles: 90.00 91.14 90.00
Fractional positions:
Nd  0.0060  0.0000  0.1875
Nd  0.4940  0.5000  0.8125
Nd  0.5060  0.5000  0.1875
Nd  0.9940  0.0000  0.8125
Cd  0.1656  0.5000  0.9671
Cd  0.3344  0.0000  0.0329
Cd  0.6656  0.0000  0.9671
Cd  0.8344  0.5000  0.0329
I  0.1776  0.5000  0.3444
I  0.3224  0.0000  0.6556
I  0.6776  0.0000  0.3444
I  0.8224  0.5000  0.6556


Record 5
A plane-wave DFT calculation with PBE was carried out for an optimized crystal structure of Nd4CdI5.

Calculated values
Space group: C2/m
Energy: -37.89 eV per formula unit
Volume: 386 Å³/cell
Formation energy (no corrections): -1.016 eV/atom

abc: 10.0336 10.0336 9.4260
angles: 101.73 101.73 24.54
Fractional positions:
Nd  0.0014  0.0014  0.2328
Nd  0.3420  0.3420  0.9257
Nd  0.6580  0.6580  0.0743
Nd  0.9986  0.9986  0.7672
Cd  0.5000  0.5000  0.0000
I  0.1683  0.1683  0.3333
I  0.1709  0.1709  0.8210
I  0.5000  0.5000  0.5000
I  0.8291  0.8291  0.1790
I  0.8317  0.8317  0.6667


Record 6
A plane-wave DFT calculation with PBE was carried out for an optimized crystal structure of NdCd2IO6.

Calculated values
Space group: R3
Energy: -51.37 eV per formula unit
Volume: 151 Å³/cell
Formation energy (no corrections): -1.347 eV/atom

abc: 6.0950 6.0950 6.0950
angles: 57.48 57.48 57.48
Fractional positions:
Nd  0.0000  0.0000  0.0000
Cd  0.2668  0.2668  0.2668
Cd  0.7878  0.7878  0.7878
I  0.4902  0.4902  0.4902
O  0.1417  0.6821  0.4000
O  0.2097  0.6051  0.8735
O  0.4000  0.1417  0.6821
O  0.6051  0.8735  0.2097
O  0.6821  0.4000  0.1417
O  0.8735  0.2097  0.6051